Here is a relaxed structure of CoAgBiF6 from the Alexandria database. Energies are from GGA+U.

Results
raw total energy	-4.5425	eV per atom
spin magnetization	3.08	μB per formula unit
density	5.54	g/cm³

Lattice parameters (Å, degrees): 5.8875 5.8875 9.7817 90.00 90.00 120.00
Last column: magnetic moment on the atom in μB.
Atoms (fractional coordinates):
Co  0.3333  0.6667  0.2500  2.79
Co  0.6667  0.3333  0.7500  2.79
Ag  0.0000  0.0000  0.0000  0.06
Ag  0.0000  0.0000  0.5000  0.06
Bi  0.6667  0.3333  0.2500  0.01
Bi  0.3333  0.6667  0.7500  0.01
F  0.6229  0.6511  0.1372  0.03
F  0.0282  0.3771  0.1372  0.03
F  0.3771  0.0282  0.6372  0.03
F  0.9718  0.6229  0.8628  0.03
F  0.3489  0.3771  0.3628  0.03
F  0.0282  0.6511  0.3628  0.03
F  0.6511  0.0282  0.8628  0.03
F  0.6229  0.9718  0.3628  0.03
F  0.9718  0.3489  0.6372  0.03
F  0.3489  0.9718  0.1372  0.03
F  0.6511  0.6229  0.6372  0.03
F  0.3771  0.3489  0.8628  0.03